--- i ---
HfCrB: relaxed, GGA-PBE.

## Properties
Its crystal system is triclinic. The space group is P1, No. 1. For the calculated volume, the calculation gives 39 Å³/f.u.

Cell and atoms, written as POSCAR:
```
HfCrB
1.0
-2.5775 1.4285 -0.8184
-2.4953 -3.6584 1.2655
-1.8012 1.8301 5.0904
Cr B Hf
2 2 2
direct
0.8639 0.2695 0.9559
0.7087 0.3955 0.4965
0.2904 0.4795 0.1848
0.8000 0.6647 0.1276
0.2159 0.9557 0.3229
0.4080 0.8080 0.7972
```

=====

--- ii ---
HfCrB: relaxed, GGA-PBE.

## Properties
Its crystal system is monoclinic. The space group is Cm, No. 8. For the calculated volume, the calculation gives 38 Å³/f.u.

Cell and atoms, written as POSCAR:
```
HfCrB
1.0
-3.2904 -1.7272 -4.1095
3.8649 -0.4277 -2.9148
3.9329 -3.5980 5.7428
Cr B Hf
4 4 4
direct
0.5415 0.0000 0.0792
0.5415 0.5000 0.5792
0.1434 0.0000 0.2235
0.1434 0.5000 0.7235
0.0330 0.6841 0.4063
0.0330 0.3159 0.4063
0.0330 0.1841 0.9063
0.0330 0.8159 0.9063
0.4856 0.0000 0.7169
0.4856 0.5000 0.2169
0.8221 0.0000 0.5381
0.8221 0.5000 0.0381
```

=====

--- iii ---
HfCrB: relaxed, GGA-PBE.

## Properties
Its crystal system is monoclinic. The space group is Cm, No. 8. For the calculated volume, the calculation gives 39 Å³/f.u.

Cell and atoms, written as POSCAR:
```
HfCrB
1.0
5.7500 0.0000 0.0103
0.0000 3.2171 0.0000
-3.5760 0.0000 8.4742
Cr B Hf
4 4 4
direct
0.0229 0.0000 0.5370
0.0229 0.5000 0.0370
0.1659 0.0000 0.2195
0.1659 0.5000 0.7195
0.4293 0.0000 0.7152
0.4293 0.5000 0.2152
0.5665 0.0000 0.3159
0.5665 0.5000 0.8159
0.4876 0.0000 0.0125
0.4876 0.5000 0.5125
0.8700 0.0000 0.8008
0.8700 0.5000 0.3008
```

=====

Energy relative to the most stable one, in eV/atom: i 0.040; ii 0.000; iii 0.022

=====

--- i ---
HfCrB: relaxed, GGA-PBE.

## Properties
Its crystal system is monoclinic. The space group is C2/m, No. 12. For the calculated volume, the calculation gives 38 Å³/f.u.

Cell and atoms, written as POSCAR:
```
HfCrB
1.0
5.6691 0.0000 -0.0010
0.0000 3.0660 0.0000
-2.8086 0.0000 8.8296
Cr B Hf
4 4 4
direct
0.3232 0.0000 0.7528
0.6768 0.0000 0.2472
0.3232 0.5000 0.2528
0.6768 0.5000 0.7472
0.9270 0.0000 0.7071
0.0730 0.0000 0.2929
0.9270 0.5000 0.2071
0.0730 0.5000 0.7929
0.5000 0.0000 0.5000
0.5000 0.5000 0.0000
0.0000 0.0000 0.0000
0.0000 0.5000 0.5000
```

=====

--- ii ---
HfCrB: relaxed, GGA-PBE.

## Properties
Its crystal system is orthorhombic. The space group is Cmcm, No. 63. For the calculated volume, the calculation gives 38 Å³/f.u.

Cell and atoms, written as POSCAR:
```
HfCrB
1.0
-2.7523 0.3537 -1.6803
-2.3837 -8.6234 2.0891
-2.3296 1.6526 4.1636
Cr B Hf
4 4 4
direct
0.0000 0.0000 0.0000
0.0000 0.0000 0.5000
0.5000 0.5000 0.0000
0.5000 0.5000 0.5000
0.0000 0.4080 0.2500
0.0000 0.5920 0.7500
0.5000 0.9080 0.2500
0.5000 0.0920 0.7500
0.0000 0.6969 0.2500
0.0000 0.3031 0.7500
0.5000 0.1969 0.2500
0.5000 0.8031 0.7500
```

=====

Energy relative to the most stable one, in eV/atom: i 0.071; ii 0.000

=====

--- i ---
HfCr2B: relaxed, GGA-PBE.

## Properties
Its crystal system is cubic. The space group is Fm-3m, No. 225. For the calculated volume, the calculation gives 49 Å³/f.u.

Cell and atoms, written as POSCAR:
```
HfCr2B
1.0
2.8398 -2.1676 2.0286
-0.9641 -3.6591 1.5999
1.5328 -3.4337 -1.6547
Cr B Hf
2 1 1
direct
0.2500 0.2500 0.2500
0.7500 0.7500 0.7500
0.0000 0.0000 0.0000
0.5000 0.5000 0.5000
```

=====

--- ii ---
HfCr2B: relaxed, GGA-PBE.

## Properties
Its crystal system is tetragonal. The space group is I-42d, No. 122. For the calculated volume, the calculation gives 53 Å³/f.u.

Cell and atoms, written as POSCAR:
```
HfCr2B
1.0
6.7566 0.0000 0.0000
0.0000 6.7566 0.0000
3.3783 3.3783 2.3136
Cr B Hf
4 2 2
direct
0.5386 0.1250 0.2500
0.2114 0.6250 0.2500
0.3750 0.4614 0.7500
0.8750 0.7886 0.7500
0.5000 0.5000 0.0000
0.2500 0.7500 0.5000
0.0000 0.0000 0.0000
0.7500 0.2500 0.5000
```

=====

Energy relative to the most stable one, in eV/atom: i 0.283; ii 0.000

=====

--- i ---
CrHgB3: relaxed, GGA-PBE.

## Properties
Its crystal system is cubic. The space group is Pm-3m, No. 221. For the calculated volume, the calculation gives 76 Å³/f.u.

Cell and atoms, written as POSCAR:
```
CrHgB3
1.0
4.2427 0.0000 0.0000
0.0000 4.2427 0.0000
0.0000 0.0000 4.2427
Cr B Hg
1 3 1
direct
0.5000 0.5000 0.5000
0.0000 0.5000 0.0000
0.0000 0.0000 0.5000
0.5000 0.0000 0.0000
0.0000 0.0000 0.0000
```

=====

--- ii ---
CrHgB3: relaxed, GGA-PBE.

## Properties
Its crystal system is cubic. The space group is Pm-3m, No. 221. For the calculated volume, the calculation gives 63 Å³/f.u.

Cell and atoms, written as POSCAR:
```
CrHgB3
1.0
3.9893 0.0000 0.0000
0.0000 3.9893 0.0000
0.0000 0.0000 3.9893
Cr B Hg
1 3 1
direct
0.0000 0.0000 0.0000
0.0000 0.5000 0.0000
0.0000 0.0000 0.5000
0.5000 0.0000 0.0000
0.5000 0.5000 0.5000
```

=====

Energy relative to the most stable one, in eV/atom: i 1.534; ii 0.000

=====

--- i ---
Cr2BI: relaxed, GGA-PBE.

## Properties
Its crystal system is tetragonal. The space group is I-42d, No. 122. For the calculated volume, the calculation gives 79 Å³/f.u.

Cell and atoms, written as POSCAR:
```
Cr2BI
1.0
5.3963 0.0000 0.0000
0.0000 5.3963 0.0000
2.6982 2.6982 5.4164
I Cr B
2 4 2
direct
0.0000 0.0000 0.0000
0.7500 0.2500 0.5000
0.5160 0.1250 0.2500
0.2340 0.6250 0.2500
0.3750 0.4840 0.7500
0.8750 0.7660 0.7500
0.5000 0.5000 0.0000
0.2500 0.7500 0.5000
```

=====

--- ii ---
Cr2BI: relaxed, GGA-PBE.

## Properties
Its crystal system is cubic. The space group is Fm-3m, No. 225. For the calculated volume, the calculation gives 52 Å³/f.u.

Cell and atoms, written as POSCAR:
```
Cr2BI
1.0
0.8476 1.7482 3.7239
-1.4058 3.8597 0.8768
-3.0682 0.5274 2.8196
I Cr B
1 2 1
direct
0.5000 0.5000 0.5000
0.2500 0.2500 0.2500
0.7500 0.7500 0.7500
0.0000 0.0000 0.0000
```

=====

Energy relative to the most stable one, in eV/atom: i 0.000; ii 0.435

=====

--- i ---
CrB2I: relaxed, GGA-PBE.

## Properties
Its crystal system is tetragonal. The space group is I-42d, No. 122. For the calculated volume, the calculation gives 68 Å³/f.u.

Cell and atoms, written as POSCAR:
```
CrB2I
1.0
-4.4090 -1.5912 2.2544
0.6101 -4.7064 -2.1286
0.7188 -4.6470 4.1260
I Cr B
2 2 4
direct
0.0000 0.0000 0.0000
0.7500 0.2500 0.5000
0.5000 0.5000 0.0000
0.2500 0.7500 0.5000
0.5558 0.1250 0.2500
0.1942 0.6250 0.2500
0.3750 0.4442 0.7500
0.8750 0.8058 0.7500
```

=====

--- ii ---
CrB2I: relaxed, GGA-PBE.

## Properties
Its crystal system is cubic. The space group is Fm-3m, No. 225. For the calculated volume, the calculation gives 53 Å³/f.u.

Cell and atoms, written as POSCAR:
```
CrB2I
1.0
4.1664 -0.3704 0.5898
2.0753 2.8874 2.2804
1.5120 -1.0083 3.8133
I Cr B
1 1 2
direct
0.5000 0.5000 0.5000
0.0000 0.0000 0.0000
0.2500 0.2500 0.2500
0.7500 0.7500 0.7500
```

=====

Energy relative to the most stable one, in eV/atom: i 0.000; ii 0.668